The following is a DFT calculation (PBE) of a relaxed CoTeAuI2 crystal.

Summary:
D(E_F) = 4.46 states/eV/f.u.
Space-group type = P4/mmm, No. 123
Magnetization = 0.000 μB/atom
Energy relative to the elements, uncorrected = 0.557 eV per atom

Cell lengths 5.4220, 5.4220, 4.7743 Å; angles 90.00, 90.00, 90.00 degrees
Element x y z (fractional)
Te 0.0000 0.0000 0.5000
I 0.5000 0.0000 0.0000
Au 0.5000 0.5000 0.5000
I 0.0000 0.5000 0.0000
Co 0.0000 0.0000 0.0000